No. 1
HgP2Br: optimized geometry, PBE.

**Energy above the lowest structure with this stoichiometry**: 881 meV per atom
**Crystal system**: tetragonal
**Raw total energy**: -0.08408 Ha/atom

Lattice parameters (Å, degrees): 5.053 5.053 3.185 90.00 90.00 90.00
Atoms (fractional coordinates):
Br1 0.500 0.000 0.500
Hg1 0.000 0.500 0.500
P1 0.000 0.000 0.000
P2 0.500 0.500 0.000

No. 2
HgP2Br: optimized geometry, PBE.

**Energy above the lowest structure with this stoichiometry**: 599 meV per atom
**Crystal system**: tetragonal
**Raw total energy**: -0.09446 Ha/atom

Lattice parameters (Å, degrees): 7.376 3.750 3.750 90.00 90.00 90.00
Atoms (fractional coordinates):
Br1 0.500 0.500 0.000
Hg1 0.500 0.000 0.500
P1 0.000 0.000 0.000
P2 0.000 0.500 0.500

No. 3
HgPBr: optimized geometry, PBE.

**Energy above the lowest structure with this stoichiometry**: 0 meV per atom
**Crystal system**: triclinic
**Raw total energy**: -0.09550 Ha/atom

Lattice parameters (Å, degrees): 3.542 7.117 8.012 71.02 89.86 74.42
Atoms (fractional coordinates):
Hg1 0.646 0.012 0.148
Hg2 0.949 0.381 0.448
P1 0.985 0.312 0.769
P2 0.609 0.081 0.826
Br1 0.201 0.907 0.430
Br2 0.393 0.487 0.165

No. 4
HgPBr2: optimized geometry, PBE.

**Energy above the lowest structure with this stoichiometry**: 272 meV per atom
**Crystal system**: monoclinic
**Raw total energy**: -0.08160 Ha/atom

Lattice parameters (Å, degrees): 6.813 6.813 5.132 75.92 75.92 37.82
Atoms (fractional coordinates):
Br1 0.988 0.988 0.038
Br2 0.761 0.761 0.781
Hg1 0.623 0.623 0.465
P1 0.128 0.128 0.217

No. 5
HgPBr: optimized geometry, PBE.

**Energy above the lowest structure with this stoichiometry**: 242 meV per atom
**Crystal system**: tetragonal
**Raw total energy**: -0.08661 Ha/atom

Lattice parameters (Å, degrees): 6.467 6.467 6.467 145.04 145.04 50.28
Atoms (fractional coordinates):
Br1 0.968 0.968 0.000
Hg1 0.259 0.259 0.000
P1 0.773 0.773 0.000

No. 6
HgP2Br: optimized geometry, PBE.

**Energy above the lowest structure with this stoichiometry**: 44 meV per atom
**Crystal system**: trigonal
**Raw total energy**: -0.11485 Ha/atom

Lattice parameters (Å, degrees): 9.555 9.555 9.555 20.68 20.68 20.68
Atoms (fractional coordinates):
Br1 0.524 0.524 0.524
Hg1 0.746 0.746 0.746
P1 0.969 0.969 0.969
P2 0.261 0.261 0.261

No. 7
HgP2Br: optimized geometry, PBE.

**Energy above the lowest structure with this stoichiometry**: 177 meV per atom
**Crystal system**: orthorhombic
**Raw total energy**: -0.10995 Ha/atom

Lattice parameters (Å, degrees): 8.709 8.709 8.709 159.96 146.36 39.47
Atoms (fractional coordinates):
Br1 0.425 0.425 0.000
Hg1 0.807 0.307 0.500
P1 0.089 0.089 0.000
P2 0.178 0.678 0.500

No. 8
HgPBr2: optimized geometry, PBE.

**Energy above the lowest structure with this stoichiometry**: 594 meV per atom
**Crystal system**: monoclinic
**Raw total energy**: -0.06976 Ha/atom

Lattice parameters (Å, degrees): 6.620 6.620 3.423 58.78 58.78 74.49
Atoms (fractional coordinates):
Br1 0.000 0.000 0.000
Br2 0.500 0.500 0.000
Hg1 0.500 0.000 0.500
P1 0.000 0.500 0.500

No. 9
HgPBr2: optimized geometry, PBE.

**Energy above the lowest structure with this stoichiometry**: 255 meV per atom
**Crystal system**: tetragonal
**Raw total energy**: -0.08222 Ha/atom

Lattice parameters (Å, degrees): 3.774 3.776 8.331 90.00 90.00 90.00
Atoms (fractional coordinates):
Br1 0.000 0.000 0.971
Br2 0.500 0.500 0.303
Hg1 0.000 0.000 0.659
P1 0.500 0.500 0.567

No. 10
HgP2Br: optimized geometry, PBE.

**Energy above the lowest structure with this stoichiometry**: 682 meV per atom
**Crystal system**: orthorhombic
**Raw total energy**: -0.09139 Ha/atom

Lattice parameters (Å, degrees): 7.826 7.826 2.565 90.00 90.00 138.03
Atoms (fractional coordinates):
Br1 0.500 0.000 0.500
Hg1 0.000 0.500 0.500
P1 0.000 0.000 0.000
P2 0.500 0.500 0.000

No. 11
HgPBr2: optimized geometry, PBE.

**Energy above the lowest structure with this stoichiometry**: 122 meV per atom
**Crystal system**: triclinic
**Raw total energy**: -0.08709 Ha/atom

Lattice parameters (Å, degrees): 5.342 5.454 6.415 106.78 113.71 90.34
Atoms (fractional coordinates):
Hg1 0.955 0.293 0.807
P1 0.443 0.308 0.783
Br1 0.247 0.143 0.377
Br2 0.476 0.757 0.847

No. 12
HgPBr2: optimized geometry, PBE.

**Energy above the lowest structure with this stoichiometry**: 291 meV per atom
**Crystal system**: monoclinic
**Raw total energy**: -0.08090 Ha/atom

Lattice parameters (Å, degrees): 3.594 3.432 10.140 89.03 90.00 90.00
Atoms (fractional coordinates):
Br1 0.000 0.741 0.928
Br2 0.000 0.759 0.572
Hg1 0.500 0.250 0.250
P1 0.500 0.750 0.750

No. 13
HgPBr2: optimized geometry, PBE.

**Energy above the lowest structure with this stoichiometry**: 341 meV per atom
**Crystal system**: monoclinic
**Raw total energy**: -0.07905 Ha/atom

Lattice parameters (Å, degrees): 4.440 4.440 9.933 75.59 75.59 48.11
Atoms (fractional coordinates):
Br1 0.930 0.930 0.097
Br2 0.570 0.570 0.403
Hg1 0.750 0.750 0.750
P1 0.250 0.250 0.250

No. 14
HgP2Br: optimized geometry, PBE.

**Energy above the lowest structure with this stoichiometry**: 512 meV per atom
**Crystal system**: tetragonal
**Raw total energy**: -0.09766 Ha/atom

Lattice parameters (Å, degrees): 4.807 4.811 4.804 74.37 68.60 111.46
Atoms (fractional coordinates):
Br1 0.500 0.500 0.000
Hg1 0.500 0.000 0.500
P1 0.000 0.000 0.000
P2 0.000 0.500 0.500

No. 15
HgPBr2: optimized geometry, PBE.

**Energy above the lowest structure with this stoichiometry**: 403 meV per atom
**Crystal system**: orthorhombic
**Raw total energy**: -0.07678 Ha/atom

Lattice parameters (Å, degrees): 6.383 6.383 6.383 145.53 101.07 89.06
Atoms (fractional coordinates):
Br1 0.071 0.071 0.000
Br2 0.693 0.193 0.500
Hg1 0.472 0.472 0.000
P1 0.265 0.765 0.500

No. 16
HgPBr: optimized geometry, PBE.

**Energy above the lowest structure with this stoichiometry**: 603 meV per atom
**Crystal system**: orthorhombic
**Raw total energy**: -0.07332 Ha/atom

Lattice parameters (Å, degrees): 6.841 6.319 3.786 81.02 65.84 33.14
Atoms (fractional coordinates):
Br1 0.004 0.004 0.996
Hg1 0.678 0.678 0.322
P1 0.317 0.317 0.683

No. 17
HgPBr2: optimized geometry, PBE.

**Energy above the lowest structure with this stoichiometry**: 0 meV per atom
**Crystal system**: triclinic
**Raw total energy**: -0.09159 Ha/atom

Lattice parameters (Å, degrees): 6.667 6.821 7.279 82.14 78.20 65.35
Atoms (fractional coordinates):
Hg1 0.320 0.758 0.405
Hg2 0.759 0.514 0.337
P1 0.075 0.125 0.752
P2 0.946 0.049 0.520
Br1 0.201 0.381 0.298
Br2 0.739 0.866 0.668
Br3 0.171 0.814 0.937
Br4 0.737 0.323 0.920

No. 18
HgPBr2: optimized geometry, PBE.

**Energy above the lowest structure with this stoichiometry**: 654 meV per atom
**Crystal system**: tetragonal
**Raw total energy**: -0.06757 Ha/atom

Lattice parameters (Å, degrees): 7.892 7.892 7.892 150.56 150.56 42.12
Atoms (fractional coordinates):
Br1 0.000 0.000 0.000
Br2 0.250 0.750 0.500
Hg1 0.500 0.500 0.000
P1 0.750 0.250 0.500

No. 19
HgP2Br: optimized geometry, PBE.

**Energy above the lowest structure with this stoichiometry**: 0 meV per atom
**Crystal system**: monoclinic
**Raw total energy**: -0.11647 Ha/atom

Lattice parameters (Å, degrees): 3.365 6.415 9.656 32.84 90.00 90.00
Atoms (fractional coordinates):
Br1 0.000 0.378 0.574
Hg1 0.500 0.815 0.626
P1 0.000 0.029 0.156
P2 0.500 0.278 0.144

No. 20
HgPBr2: optimized geometry, PBE.

**Energy above the lowest structure with this stoichiometry**: 343 meV per atom
**Crystal system**: tetragonal
**Raw total energy**: -0.07899 Ha/atom

Lattice parameters (Å, degrees): 8.038 8.038 8.107 60.28 60.28 90.00
Atoms (fractional coordinates):
P1 0.500 0.500 0.000
P2 0.250 0.750 0.500
Hg1 0.000 0.000 0.000
Hg2 0.750 0.250 0.500
Br1 0.375 0.125 0.250
Br2 0.375 0.625 0.250
Br3 0.375 0.625 0.750
Br4 0.875 0.625 0.750

No. 21
HgP2Br: optimized geometry, PBE.

**Energy above the lowest structure with this stoichiometry**: 253 meV per atom
**Crystal system**: orthorhombic
**Raw total energy**: -0.10718 Ha/atom

Lattice parameters (Å, degrees): 4.339 4.339 12.404 90.00 90.00 139.54
Atoms (fractional coordinates):
Br1 0.000 0.000 0.503
Hg1 0.500 0.500 0.738
P1 0.000 0.000 0.071
P2 0.500 0.500 0.188

No. 22
HgPBr2: optimized geometry, PBE.

**Energy above the lowest structure with this stoichiometry**: 7 meV per atom
**Crystal system**: triclinic
**Raw total energy**: -0.09135 Ha/atom

Lattice parameters (Å, degrees): 6.139 6.647 7.470 75.07 83.24 80.99
Atoms (fractional coordinates):
Hg1 0.406 0.806 0.790
Hg2 0.341 0.523 0.612
P1 0.534 0.022 0.978
P2 0.650 0.747 0.200
Br1 0.291 0.218 0.469
Br2 0.894 0.885 0.323
Br3 0.840 0.106 0.788
Br4 0.880 0.523 0.061

No. 23
HgP2Br: optimized geometry, PBE.

**Energy above the lowest structure with this stoichiometry**: 893 meV per atom
**Crystal system**: cubic
**Raw total energy**: -0.08367 Ha/atom

Lattice parameters (Å, degrees): 4.846 4.846 4.846 60.00 60.00 60.00
Atoms (fractional coordinates):
P1 0.250 0.250 0.250
P2 0.750 0.750 0.750
Hg1 0.500 0.500 0.500
Br1 0.000 0.000 0.000

No. 24
HgPPd2Br: optimized geometry, PBE.

**Crystal system**: tetragonal
**Raw total energy**: -0.12543 Ha/atom

Lattice parameters (Å, degrees): 4.582 5.327 4.582 90.00 90.00 90.00
Atoms (fractional coordinates):
P1 0.000 0.000 0.000
Br1 0.000 0.500 0.000
Hg1 0.500 0.500 0.500
Pd1 0.000 0.000 0.500
Pd2 0.500 0.000 0.000

No. 25
Pr6HgP2Br3: optimized geometry, PBE.

**Crystal system**: monoclinic
**Raw total energy**: -0.18288 Ha/atom

Lattice parameters (Å, degrees): 4.202 9.000 9.865 105.33 102.30 90.00
Atoms (fractional coordinates):
Pr1 0.335 0.881 0.670
Pr2 0.677 0.558 0.354
Pr3 0.665 0.119 0.330
Pr4 0.014 0.252 0.028
Pr5 0.986 0.748 0.972
Pr6 0.323 0.442 0.646
Hg1 0.500 0.000 0.000
P1 0.831 0.663 0.662
P2 0.169 0.337 0.338
Br1 0.500 0.500 0.000
Br2 0.835 0.170 0.670
Br3 0.165 0.830 0.330

No. 26
HgPRhBr2: optimized geometry, PBE.

**Crystal system**: tetragonal
**Raw total energy**: -0.11574 Ha/atom

Lattice parameters (Å, degrees): 5.353 4.426 5.353 90.00 90.00 90.00
Atoms (fractional coordinates):
P1 0.000 0.500 0.000
Rh1 0.000 0.000 0.000
Hg1 0.500 0.500 0.500
Br1 0.000 0.000 0.500
Br2 0.500 0.000 0.000

No. 27
HgPS2Br: optimized geometry, PBE.

**Energy above the lowest structure with this stoichiometry**: 0 meV per atom
**Crystal system**: tetragonal
**Raw total energy**: -0.07234 Ha/atom

Lattice parameters (Å, degrees): 4.949 4.949 5.418 90.00 90.00 90.00
Atoms (fractional coordinates):
P1 0.000 0.000 0.500
S1 0.000 0.500 0.000
S2 0.500 0.000 0.000
Hg1 0.000 0.000 0.000
Br1 0.500 0.500 0.500

No. 28
Hg4PSBr2: optimized geometry, PBE.

**Crystal system**: orthorhombic
**Raw total energy**: -0.06548 Ha/atom

Lattice parameters (Å, degrees): 8.318 8.318 8.265 119.78 119.78 90.79
Atoms (fractional coordinates):
Hg1 0.200 0.746 0.973
Hg2 0.754 0.300 0.527
Hg3 0.246 0.700 0.473
Hg4 0.800 0.254 0.027
Hg5 0.761 0.739 0.964
Hg6 0.761 0.739 0.536
Hg7 0.239 0.261 0.464
Hg8 0.239 0.261 0.036
P1 0.500 0.500 0.500
P2 0.000 0.000 0.000
S1 0.000 0.500 0.000
S2 0.000 0.500 0.500
Br1 0.500 0.000 0.000
Br2 0.500 0.000 0.500
Br3 0.000 0.000 0.500
Br4 0.500 0.500 0.000

Sequential energy relative to the elements, uncorrected output: 0.911, 0.628, -0.137, 0.044, 0.105, 0.073, 0.207, 0.366, 0.027, 0.712, -0.106, 0.063, 0.113, 0.541, 0.175, 0.466, -0.228, 0.426, 0.029, 0.115, 0.282, -0.221, 0.922, 0.141, -1.242, 0.132, 1.159, -0.021 eV/atom